# 1
A plane-wave DFT calculation with PBE was carried out for a relaxed As2RuSeCl crystal.

The structure in POSCAR format:
```
As2RuSeCl
1.0
4.6633 0.0000 0.0000
0.0000 4.6633 0.0000
0.0000 0.0000 4.8947
As Ru Se Cl
2 1 1 1
direct
0.0000 0.5000 0.0000
0.5000 0.0000 0.0000
0.0000 0.0000 0.5000
0.5000 0.5000 0.5000
0.5000 0.5000 0.0000
```

Calculated values
- Formation energy (no corrections): 1.47 eV/atom
- Volume: 21.29 A^3/atom
- Excess energy over the best structure of this formula in the dataset: 1056 meV/atom



# 2
A plane-wave DFT calculation with PBE was carried out for a relaxed Tm2TlBi crystal.

The structure in POSCAR format:
```
Tm2TlBi
1.0
3.9862 0.0000 0.0000
0.0000 3.9862 0.0000
0.0000 0.0000 6.9556
Tm Tl Bi
2 1 1
direct
0.0000 0.0000 0.2470
0.0000 0.0000 0.7530
0.5000 0.5000 0.5000
0.5000 0.5000 0.0000
```

Calculated values
- Calculated formation energy: -0.41 eV per atom
- Volume: 27.63 A^3/atom
- Excess energy over the best structure of this formula in the dataset: 12 meV/atom



# 3
A plane-wave DFT calculation with PBE was carried out for a relaxed TbAl4NiPd2 crystal.

The structure in POSCAR format:
```
TbAl4NiPd2
1.0
2.1136 1.2203 8.7095
-2.1136 1.2203 8.7095
0.0000 -2.4406 8.7095
Tb Al Ni Pd
1 4 1 2
direct
0.0000 0.0000 0.0000
0.1361 0.1361 0.1361
0.4053 0.4053 0.4053
0.5947 0.5947 0.5947
0.8639 0.8639 0.8639
0.5000 0.5000 0.5000
0.2376 0.2376 0.2376
0.7624 0.7624 0.7624
```

Calculated values
- Calculated formation energy: -0.70 eV per atom
- Volume: 16.85 A^3/atom



# 4
A plane-wave DFT calculation with PBE was carried out for a relaxed Rb2MgZrF6 crystal.

The structure in POSCAR format:
```
Rb2MgZrF6
1.0
0.0000 4.3184 4.3184
4.3184 0.0000 4.3184
4.3184 4.3184 0.0000
Rb Mg Zr F
2 1 1 6
direct
0.2500 0.2500 0.2500
0.7500 0.7500 0.7500
0.0000 0.0000 0.0000
0.5000 0.5000 0.5000
0.2351 0.2351 0.7649
0.2351 0.7649 0.2351
0.2351 0.7649 0.7649
0.7649 0.2351 0.2351
0.7649 0.2351 0.7649
0.7649 0.7649 0.2351
```

Calculated values
- Formation energy (no corrections): -2.89 eV/atom
- Volume: 16.11 A^3/atom